Entry 1:
Entry from the Alexandria database: crystalline LaYAs2Br at its relaxed geometry (GGA-PBEsol).

abc: 5.224 5.329 5.329
angles: 90.00 90.00 90.00
Fractional positions:
Y 0.000 0.000 0.000
As 0.000 0.000 0.500
As 0.000 0.500 0.000
Br 0.500 0.000 0.000
La 0.500 0.500 0.500

Output
symmetry = No. 123



Entry 2:
Entry from the Alexandria database: crystalline LaYAs2Br at its relaxed geometry (GGA-PBEsol).

abc: 5.411 5.560 5.560
angles: 90.00 90.00 90.00
Fractional positions:
Y 0.500 0.500 0.500
As 0.000 0.000 0.500
As 0.000 0.500 0.000
Br 0.500 0.000 0.000
La 0.000 0.000 0.000

Output
symmetry = No. 123



| no. | E_form (uncorrected) (meV/atom) | polymorph energy (0 for the lowest one) (kJ/mol of atoms) | raw total energy (eV/f.u.) |
| --- | --- | --- | --- |
| 1 | -797.8 | 0.00 | -28.24 |
| 2 | -270.9 | 50.84 | -25.61 |